(1)
# GGA-PBEsol LiTl2Cl, relaxed
# * polymorph energy (0 for the lowest one): 0.00 eV per formula unit
# * raw formation energy: -0.3674 eV per atom
# * VASP energy: -2.676 eV/atom
data_LiTl2Cl
_symmetry_space_group_name_H-M 'P 4/m m m'
_symmetry_Int_Tables_number 123
_symmetry_space_group_name_Hall '-P 4 2'
_cell_length_a 4.060
_cell_length_b 4.060
_cell_length_c 6.172
_cell_angle_alpha 90.00
_cell_angle_beta 90.00
_cell_angle_gamma 90.00
loop_
_atom_site_label
_atom_site_fract_x
_atom_site_fract_y
_atom_site_fract_z
Li1 0.000 0.000 0.000
Tl1 0.500 0.500 0.251
Cl1 0.000 0.000 0.500



(2)
# GGA-PBEsol Sc2TeS, relaxed
# * polymorph energy (0 for the lowest one): 0.00 eV per formula unit
# * raw formation energy: -1.1826 eV per atom
# * VASP energy: -6.463 eV/atom
data_Sc2TeS
_symmetry_space_group_name_H-M 'F m -3 m'
_symmetry_Int_Tables_number 225
_symmetry_space_group_name_Hall '-F 4 2 3'
_cell_length_a 6.811
_cell_length_b 6.811
_cell_length_c 6.811
_cell_angle_alpha 90.00
_cell_angle_beta 90.00
_cell_angle_gamma 90.00
loop_
_atom_site_label
_atom_site_fract_x
_atom_site_fract_y
_atom_site_fract_z
Sc1 0.250 0.250 0.250
Te1 0.000 0.000 0.000
S1 0.000 0.000 0.500



> Number 2 is which compound?

Sc2TeS



What did the second record say?
# GGA-PBEsol Sc2TeS, relaxed
# * polymorph energy (0 for the lowest one): 0.00 eV per formula unit
# * raw formation energy: -1.1826 eV per atom
# * VASP energy: -6.463 eV/atom
data_Sc2TeS
_symmetry_space_group_name_H-M 'F m -3 m'
_symmetry_Int_Tables_number 225
_symmetry_space_group_name_Hall '-F 4 2 3'
_cell_length_a 6.811
_cell_length_b 6.811
_cell_length_c 6.811
_cell_angle_alpha 90.00
_cell_angle_beta 90.00
_cell_angle_gamma 90.00
loop_
_atom_site_label
_atom_site_fract_x
_atom_site_fract_y
_atom_site_fract_z
Sc1 0.250 0.250 0.250
Te1 0.000 0.000 0.000
S1 0.000 0.000 0.500